No. 1
# LaGe2Ir3

LaGe2Ir3 at its PBEsol-relaxed geometry (meta-GGA SCAN, Alexandria via LeMat-Bulk).

Calculated values
The value obtained for the calculated total energy is -49.915 eV per atom.

a b c (Å): 5.622 5.622 3.819
angles (deg): 90.00 90.00 120.00
Element x y z (fractional)
La: 0.000 0.000 0.000
Ge: 0.333 0.667 0.000
Ge: 0.667 0.333 0.000
Ir: 0.000 0.500 0.500
Ir: 0.500 0.000 0.500
Ir: 0.500 0.500 0.500

No. 2
# TlAs5S8

TlAs5S8 at its PBEsol-relaxed geometry (meta-GGA SCAN, Alexandria via LeMat-Bulk).

Calculated values
The value obtained for the calculated total energy is -18.084 eV per atom. For the formation energy from raw total energies, the calculation gives -203.2 meV per atom.

a b c (Å): 15.474 7.814 10.665
angles (deg): 90.00 91.98 90.00
Element x y z (fractional)
Tl: 0.223 0.150 0.162
Tl: 0.223 0.350 0.662
Tl: 0.777 0.650 0.338
Tl: 0.777 0.850 0.838
As: 0.047 0.155 0.396
As: 0.047 0.345 0.896
As: 0.073 0.617 0.384
As: 0.073 0.883 0.884
As: 0.231 0.624 0.062
As: 0.231 0.876 0.562
As: 0.382 0.730 0.361
As: 0.382 0.770 0.861
As: 0.433 0.038 0.617
As: 0.433 0.462 0.117
As: 0.567 0.538 0.883
As: 0.567 0.962 0.383
As: 0.618 0.230 0.139
As: 0.618 0.270 0.639
As: 0.769 0.124 0.438
As: 0.769 0.376 0.938
As: 0.927 0.117 0.116
As: 0.927 0.383 0.616
As: 0.953 0.655 0.104
As: 0.953 0.845 0.604
S: 0.065 0.642 0.597
S: 0.065 0.858 0.097
S: 0.071 0.106 0.600
S: 0.071 0.394 0.100
S: 0.160 0.116 0.894
S: 0.160 0.384 0.394
S: 0.181 0.671 0.861
S: 0.181 0.829 0.361
S: 0.316 0.096 0.484
S: 0.316 0.404 0.984
S: 0.344 0.673 0.564
S: 0.344 0.827 0.064
S: 0.356 0.042 0.795
S: 0.356 0.458 0.295
S: 0.472 0.181 0.119
S: 0.472 0.319 0.619
S: 0.528 0.681 0.381
S: 0.528 0.819 0.881
S: 0.644 0.542 0.705
S: 0.644 0.958 0.205
S: 0.656 0.173 0.936
S: 0.656 0.327 0.436
S: 0.684 0.596 0.016
S: 0.684 0.904 0.516
S: 0.819 0.171 0.639
S: 0.819 0.329 0.139
S: 0.840 0.616 0.606
S: 0.840 0.884 0.106
S: 0.929 0.606 0.900
S: 0.929 0.894 0.400
S: 0.935 0.142 0.903
S: 0.935 0.358 0.403